# 1
VASP calculation (GGA-PBE) on LiReRu2 after structural relaxation. Values from VASP.

Summary:
The space group is I-42d (122). The value obtained for the calculated formation energy is 649 meV/atom.

```
&SYSTEM
  ibrav = 0, nat = 8, ntyp = 3
/
ATOMIC_SPECIES
Li 6.94 Li.upf
Re 186.21 Re.upf
Ru 101.07 Ru.upf
CELL_PARAMETERS angstrom
-3.4939 3.4939 2.6688
3.4939 -3.4939 2.6688
3.4939 3.4939 -2.6688
ATOMIC_POSITIONS crystal
Li 0.0000 0.0000 0.0000
Li 0.7500 0.2500 0.5000
Re 0.2500 0.7500 0.5000
Re 0.5000 0.5000 0.0000
Ru 0.1649 0.1250 0.5399
Ru 0.3750 0.8351 0.9601
Ru 0.5851 0.6250 0.4601
Ru 0.8750 0.4149 0.0399
```

# 2
VASP calculation (GGA-PBE) on VCo2Rh after structural relaxation. Values from VASP.

Summary:
The space group is P4/mmm (123). The value obtained for the calculated formation energy is -20 meV/atom.

```
&SYSTEM
  ibrav = 0, nat = 4, ntyp = 3
/
ATOMIC_SPECIES
V 50.94 V.upf
Co 58.93 Co.upf
Rh 102.91 Rh.upf
CELL_PARAMETERS angstrom
2.9810 0.0000 0.0000
0.0000 2.9810 0.0000
0.0000 0.0000 5.5399
ATOMIC_POSITIONS crystal
V 0.0000 0.0000 0.0000
Co 0.5000 0.5000 0.2242
Co 0.5000 0.5000 0.7758
Rh 0.0000 0.0000 0.5000
```

# 3
VASP calculation (GGA-PBE) on Tb2Ho2Er3 after structural relaxation. Values from VASP.

Summary:
The space group is P-1 (2). The value obtained for the calculated formation energy is 43 meV/atom.

```
&SYSTEM
  ibrav = 0, nat = 7, ntyp = 3
/
ATOMIC_SPECIES
Tb 158.93 Tb.upf
Ho 164.93 Ho.upf
Er 167.26 Er.upf
CELL_PARAMETERS angstrom
3.5014 0.0000 0.0000
0.0004 5.4105 0.0000
1.7444 2.7001 11.5045
ATOMIC_POSITIONS crystal
Tb 0.0804 0.0800 0.3408
Tb 0.9196 0.9200 0.6592
Ho 0.3572 0.3575 0.7848
Ho 0.6428 0.6425 0.2152
Er 0.2749 0.7751 0.9498
Er 0.5000 0.5000 0.5000
Er 0.7251 0.2249 0.0502
```

# 4
VASP calculation (GGA-PBE) on CoOs2Se after structural relaxation. Values from VASP.

Summary:
The space group is P4mm (99).

```
&SYSTEM
  ibrav = 0, nat = 4, ntyp = 3
/
ATOMIC_SPECIES
Co 58.93 Co.upf
Os 190.23 Os.upf
Se 78.96 Se.upf
CELL_PARAMETERS angstrom
2.8517 0.0000 0.0000
0.0000 2.8517 0.0000
0.0000 0.0000 6.9455
ATOMIC_POSITIONS crystal
Co 0.0000 0.0000 0.0000
Os 0.0000 0.0000 0.5052
Os 0.5000 0.5000 0.2653
Se 0.5000 0.5000 0.7914
```

# 5
VASP calculation (GGA-PBE) on SrCdBiI after structural relaxation. Values from VASP.

Summary:
The space group is R-3m (166).

```
&SYSTEM
  ibrav = 0, nat = 8, ntyp = 4
/
ATOMIC_SPECIES
Sr 87.62 Sr.upf
Cd 112.41 Cd.upf
Bi 208.98 Bi.upf
I 126.90 I.upf
CELL_PARAMETERS angstrom
2.4491 1.4140 15.4650
-2.4491 1.4140 15.4650
0.0000 -2.8280 15.4650
ATOMIC_POSITIONS crystal
Sr 0.0874 0.0874 0.0874
Sr 0.9126 0.9126 0.9126
Cd 0.3111 0.3111 0.3111
Cd 0.6889 0.6889 0.6889
Bi 0.3774 0.3774 0.3774
Bi 0.6226 0.6226 0.6226
I 0.2084 0.2084 0.2084
I 0.7916 0.7916 0.7916
```

# 6
VASP calculation (GGA-PBE) on NdDyPb after structural relaxation. Values from VASP.

Summary:
The space group is C2/m (12). The value obtained for the calculated formation energy is -450 meV/atom.

```
&SYSTEM
  ibrav = 0, nat = 6, ntyp = 3
/
ATOMIC_SPECIES
Nd 144.24 Nd.upf
Dy 162.50 Dy.upf
Pb 207.20 Pb.upf
CELL_PARAMETERS angstrom
3.2841 -3.2841 0.0000
3.2841 3.2841 0.0000
-0.0099 0.0000 8.7861
ATOMIC_POSITIONS crystal
Nd 0.2490 0.2490 0.1551
Nd 0.7510 0.7510 0.8449
Dy 0.2500 0.7500 0.5000
Dy 0.7500 0.2500 0.5000
Pb 0.2512 0.2512 0.7766
Pb 0.7488 0.7488 0.2234
```

Number 1: VASP energy -7.579 eV per atom. Number 2: VASP energy -7.690 eV per atom. Number 3: VASP energy -4.543 eV per atom. Number 4: VASP energy -7.837 eV per atom. Number 5: VASP energy -2.876 eV per atom. Number 6: VASP energy -4.810 eV per atom.